(1)
# Na5Cd12Pd2

Na5Cd12Pd2 after structural relaxation (PBE, Alexandria via LeMat-Bulk). Values from VASP.

Geometry as Quantum ESPRESSO input:
```
&SYSTEM
  ibrav = 0, nat = 19, ntyp = 3
/
ATOMIC_SPECIES
Na 22.99 Na.upf
Cd 112.41 Cd.upf
Pd 106.42 Pd.upf
CELL_PARAMETERS angstrom
7.2875 -4.1084 0.0000
7.2875 4.1084 0.0000
-0.2209 0.0000 7.2892
ATOMIC_POSITIONS crystal
Na 0.0000 0.0000 0.0000
Na 0.2439 0.2439 0.0664
Na 0.3054 0.3054 0.5031
Na 0.6946 0.6946 0.4969
Na 0.7561 0.7561 0.9336
Cd 0.0419 0.6686 0.2553
Cd 0.0851 0.0851 0.3983
Cd 0.1721 0.5864 0.8255
Cd 0.3314 0.9581 0.7447
Cd 0.4136 0.8279 0.1745
Cd 0.4525 0.4525 0.1853
Cd 0.5475 0.5475 0.8147
Cd 0.5864 0.1721 0.8255
Cd 0.6686 0.0419 0.2553
Cd 0.8279 0.4136 0.1745
Cd 0.9149 0.9149 0.6017
Cd 0.9581 0.3314 0.7447
Pd 0.3081 0.6919 0.5000
Pd 0.6919 0.3081 0.5000
```

Properties
**Calculated formation energy**: -2.2 eV per formula unit
**E_tot**: -1.589 eV/atom

=====

(2)
# NaCdPd2

NaCdPd2 after structural relaxation (PBE, Alexandria via LeMat-Bulk). Values from VASP.

Geometry as Quantum ESPRESSO input:
```
&SYSTEM
  ibrav = 0, nat = 16, ntyp = 3
/
ATOMIC_SPECIES
Na 22.99 Na.upf
Cd 112.41 Cd.upf
Pd 106.42 Pd.upf
CELL_PARAMETERS angstrom
7.4674 0.0000 0.0000
0.0000 7.4674 0.0000
0.0000 0.0000 5.6652
ATOMIC_POSITIONS crystal
Na 0.0000 0.0000 0.0000
Na 0.0000 0.5000 0.2500
Na 0.5000 0.0000 0.7500
Na 0.5000 0.5000 0.5000
Cd 0.0000 0.0000 0.5000
Cd 0.0000 0.5000 0.7500
Cd 0.5000 0.0000 0.2500
Cd 0.5000 0.5000 0.0000
Pd 0.2385 0.2500 0.6250
Pd 0.2500 0.7385 0.8750
Pd 0.2500 0.7615 0.3750
Pd 0.2615 0.2500 0.1250
Pd 0.7385 0.7500 0.1250
Pd 0.7500 0.2385 0.3750
Pd 0.7500 0.2615 0.8750
Pd 0.7615 0.7500 0.6250
```

Properties
**Calculated formation energy**: 0.1 eV per formula unit
**E_tot**: -3.122 eV/atom

=====

(3)
# Na3CdPd

Na3CdPd after structural relaxation (PBE, Alexandria via LeMat-Bulk). Values from VASP.

Geometry as Quantum ESPRESSO input:
```
&SYSTEM
  ibrav = 0, nat = 5, ntyp = 3
/
ATOMIC_SPECIES
Na 22.99 Na.upf
Cd 112.41 Cd.upf
Pd 106.42 Pd.upf
CELL_PARAMETERS angstrom
5.5376 0.0000 0.0000
0.0000 5.5376 0.0000
0.0000 0.0000 5.5376
ATOMIC_POSITIONS crystal
Na 0.0000 0.0000 0.5000
Na 0.0000 0.5000 0.0000
Na 0.5000 0.0000 0.0000
Cd 0.0000 0.0000 0.0000
Pd 0.5000 0.5000 0.5000
```

Properties
**Calculated formation energy**: 2.4 eV per formula unit
**Polymorph energy (0 for the lowest one)**: 0.615 eV per atom
**E_tot**: -1.524 eV/atom